A plane-wave DFT calculation with PBE was carried out for an optimized crystal structure of Er13Th2.

Cell and atoms, written as extended XYZ:
```
15
Lattice="-5.655 -2.781 -1.789 1.174 -3.977 7.625 -4.999 7.347 0.957" Properties=species:S:1:pos:R:3 pbc="T T T"
Er -3.760 -4.218 3.057
Er -5.720 4.807 3.737
Er 0.000 0.000 0.000
Er -5.209 3.961 0.050
Er -4.270 -3.372 6.743
Er -3.317 2.527 4.872
Er -6.163 -1.938 1.922
Er -3.550 -0.834 3.955
Er -5.929 1.423 2.838
Er -6.358 2.374 6.188
Er -3.122 -1.785 0.606
Er -8.311 2.225 0.690
Er -1.168 -1.636 6.104
Th -6.604 -1.008 5.321
Th -2.875 1.597 1.472
```

Properties
SG: P-1 (2)
E in eV per atom: -4.88
Crystal system: triclinic
Calculated formation energy in eV per atom: 0.06
Fermi-level density of states in states/eV/cell: 24.66